1:
AlCrOs (PBE, optimized geometry); space group = No. 156; calculated volume = 40.2 Å³/cell; theoretical density = 11.1 g cm⁻³; spin magnetization = 0.00 μB/cell
1.0
-2.8944 -2.8466 0.8012
2.8053 -0.6794 -2.9650
1.6417 -1.1574 1.8185
Al Os Cr
1 1 1
Direct
0.0000 0.0000 0.0058
0.6667 0.3333 0.6450
0.3333 0.6667 0.3493

2:
AlCrOs (PBE, optimized geometry); space group = No. 42; calculated volume = 41.1 Å³/cell; theoretical density = 10.9 g cm⁻³; spin magnetization = 0.00 μB/cell
1.0
-5.1882 -3.2254 2.6995
-2.9849 -4.3279 3.7449
-1.2241 1.7513 1.6117
Cr Os Al
1 1 1
Direct
0.3320 0.3320 0.6680
0.6702 0.6702 0.3298
0.9978 0.9978 0.0022

3:
AlCrOs (PBE, optimized geometry); space group = No. 12; calculated volume = 85.3 Å³/cell; theoretical density = 10.5 g cm⁻³; spin magnetization = 0.00 μB/cell
1.0
2.8301 0.0000 0.0000
1.4150 4.1920 -0.0412
1.4150 -0.5414 7.1991
Al Cr Os
2 2 2
Direct
0.3016 0.1712 0.2256
0.6984 0.8288 0.7744
0.1196 0.6893 0.0716
0.8804 0.3107 0.9284
0.0871 0.2384 0.5874
0.9129 0.7616 0.4126

The most stable of them is 1.

1:
AlCr2Os2 (PBE, optimized geometry); space group = No. 15; calculated volume = 134.7 Å³/cell; theoretical density = 12.6 g cm⁻³; spin magnetization = 0.00 μB/cell
1.0
4.1823 0.0000 -1.1440
-0.3730 4.9854 -1.3638
-0.4747 0.3647 6.4813
Cr Al Os
4 2 4
Direct
0.7889 0.4609 0.5930
0.8041 0.9609 0.5930
0.1959 0.0391 0.4070
0.2111 0.5391 0.4070
0.0727 0.7500 0.0000
0.9273 0.2500 0.0000
0.5276 0.1650 0.2082
0.6805 0.6650 0.2082
0.3195 0.3350 0.7918
0.4724 0.8350 0.7918

2:
AlCr2Os2 (PBE, optimized geometry); space group = No. 127; calculated volume = 143.1 Å³/cell; theoretical density = 11.9 g cm⁻³; spin magnetization = 0.00 μB/cell
1.0
7.2213 0.0000 0.0000
0.0000 7.2213 0.0000
0.0000 0.0000 2.7446
Cr Os Al
4 4 2
Direct
0.8392 0.3392 0.5000
0.3392 0.1608 0.5000
0.6608 0.8392 0.5000
0.1608 0.6608 0.5000
0.1320 0.3680 0.0000
0.6320 0.1320 0.0000
0.8680 0.6320 0.0000
0.3680 0.8680 0.0000
0.5000 0.5000 0.0000
0.0000 0.0000 0.0000

The most stable of them is 1.